## Ce2AlNi6 (GGA-PBE)

Data for a geometry-optimized Ce2AlNi6 structure.

a = 5.2283 Å, b = 5.2283 Å, c = 5.7652 Å
α = 90.00°, β = 90.00°, γ = 120.00°
With the nearest neighbours (Å) after each atom.
Positions (direct):
Ce1 0.3333 0.6667 0.2999  6 Ni 2.71
Ce2 0.6667 0.3333 0.7001  6 Ni 2.71
Al1 0.0000 0.0000 0.5000  6 Ni 2.43
Ni1 0.1709 0.3418 0.8260  1 Al 2.43, 6 Ni 2.53-2.68, 2 Ce 2.71
Ni2 0.1709 0.8291 0.8260  1 Al 2.43, 6 Ni 2.53-2.68, 2 Ce 2.71
Ni3 0.3418 0.1709 0.1740  1 Al 2.43, 6 Ni 2.53-2.68, 2 Ce 2.71
Ni4 0.6582 0.8291 0.8260  1 Al 2.43, 6 Ni 2.53-2.68, 2 Ce 2.71
Ni5 0.8291 0.1709 0.1740  1 Al 2.43, 6 Ni 2.53-2.68, 2 Ce 2.71
Ni6 0.8291 0.6582 0.1740  1 Al 2.43, 6 Ni 2.53-2.68, 2 Ce 2.71

The value obtained for the size of the total moment is 0.000 μB per cell. For the energy of formation from the pure elements, the calculation gives -0.414 eV per atom. Its symmetry is P-3m1 (164).